Ac3P4Rh4: relaxed, PBE.

Calculated values
As for the energy relative to the elements: -12.3 eV per formula unit. For the magnetic moment, the calculation gives 0.000 μB/cell. As for the space group: No. 71.

Cell: 12.8048 12.8048 12.8048 Å, 161.15 161.10 26.82°
With the nearest neighbours (Å) after each atom.
Positions (direct):
Ac (0.0000, 0.0000, 0.0000)  8 P 3.21, 4 Rh 3.23
Ac (0.1452, 0.6452, 0.5000)  6 P 3.18-3.23, 8 Rh 3.19-3.40
Ac (0.8548, 0.3548, 0.5000)  6 P 3.18-3.23, 8 Rh 3.19-3.40
P (0.3042, 0.8042, 0.5000)  5 Rh 2.42-2.53
P (0.4506, 0.4506, 0.0000)  2 Rh 2.43, 1 P 2.46
P (0.5494, 0.5494, 0.0000)  2 Rh 2.43, 1 P 2.46
P (0.6958, 0.1958, 0.5000)  5 Rh 2.42-2.53
Rh (0.2474, 0.2474, 0.0000)  4 P 2.46-2.53
Rh (0.4015, 0.9015, 0.5000)  3 P 2.42-2.43
Rh (0.5985, 0.0985, 0.5000)  3 P 2.42-2.43
Rh (0.7526, 0.7526, 0.0000)  4 P 2.46-2.53



Ac2PRh: relaxed, PBE.

Calculated values
The energy above the most stable polymorph in this dataset is 0.065 eV/atom. As for the energy relative to the elements: -3.8 eV per formula unit. For the magnetic moment, the calculation gives 0.000 μB/cell. As for the space group: No. 166.

Cell: 7.6448 7.6448 7.6448 Å, 33.23 33.23 33.23°
With the nearest neighbours (Å) after each atom.
Positions (direct):
Ac (0.2479, 0.2479, 0.2479)  3 Rh 3.08, 3 P 3.13
Ac (0.7521, 0.7521, 0.7521)  3 Rh 3.08, 3 P 3.13
P (0.0000, 0.0000, 0.0000)  6 Ac 3.13
Rh (0.5000, 0.5000, 0.5000)  6 Ac 3.08



Q: What is the formula in the second record?
A: Ac2PRh